# 1
Entry from Alexandria via LeMat-Bulk: La2Y at its PBEsol-relaxed geometry (meta-GGA SCAN).

Relative energy among the computed polymorphs = 0.016 eV/atom
E_form = 32 meV per atom

Structure (CIF):
```
data_La2Y
_cell_length_a 9.654
_cell_length_b 9.654
_cell_length_c 5.810
_cell_angle_alpha 90.00
_cell_angle_beta 90.00
_cell_angle_gamma 158.23
_space_group_name_H-M_alt 'P 1'
_space_group_IT_number 1
loop_
_space_group_symop_operation_xyz
'x,y,z'
loop_
_atom_site_label
_atom_site_type_symbol
_atom_site_fract_x
_atom_site_fract_y
_atom_site_fract_z
_atom_site_occupancy
La1 La 0.055 0.945 0.750 1
La2 La 0.278 0.722 0.250 1
La3 La 0.722 0.278 0.750 1
La4 La 0.945 0.055 0.250 1
Y1 Y 0.389 0.611 0.750 1
Y2 Y 0.611 0.389 0.250 1
```

=====

# 2
Entry from Alexandria via LeMat-Bulk: ZrAlPt at its PBEsol-relaxed geometry (meta-GGA SCAN).

E_form = -1340 meV per atom

Structure (CIF):
```
data_ZrAlPt
_cell_length_a 6.866
_cell_length_b 6.866
_cell_length_c 3.836
_cell_angle_alpha 90.00
_cell_angle_beta 90.00
_cell_angle_gamma 120.00
_space_group_name_H-M_alt 'P 1'
_space_group_IT_number 1
loop_
_space_group_symop_operation_xyz
'x,y,z'
loop_
_atom_site_label
_atom_site_type_symbol
_atom_site_fract_x
_atom_site_fract_y
_atom_site_fract_z
_atom_site_occupancy
Zr1 Zr 0.000 0.589 0.000 1
Zr2 Zr 0.411 0.411 0.000 1
Zr3 Zr 0.589 0.000 0.000 1
Al1 Al 0.000 0.251 0.500 1
Al2 Al 0.251 0.000 0.500 1
Al3 Al 0.749 0.749 0.500 1
Pt1 Pt 0.000 0.000 0.000 1
Pt2 Pt 0.333 0.667 0.500 1
Pt3 Pt 0.667 0.333 0.500 1
```

=====

# 3
Entry from Alexandria via LeMat-Bulk: BaS at its PBEsol-relaxed geometry (meta-GGA SCAN).

E_form (uncorrected) = -2.3732 eV/atom

Structure (CIF):
```
data_BaS
_cell_length_a 4.499
_cell_length_b 4.499
_cell_length_c 4.499
_cell_angle_alpha 60.00
_cell_angle_beta 60.00
_cell_angle_gamma 60.00
_space_group_name_H-M_alt 'P 1'
_space_group_IT_number 1
loop_
_space_group_symop_operation_xyz
'x,y,z'
loop_
_atom_site_label
_atom_site_type_symbol
_atom_site_fract_x
_atom_site_fract_y
_atom_site_fract_z
_atom_site_occupancy
Ba1 Ba 0.000 0.000 0.000 1
S1 S 0.500 0.500 0.500 1
```

=====

# 4
Entry from Alexandria via LeMat-Bulk: CaGa3P at its PBEsol-relaxed geometry (meta-GGA SCAN).

E_form = 1225 meV per atom

Structure (CIF):
```
data_CaGa3P
_cell_length_a 5.318
_cell_length_b 5.318
_cell_length_c 5.318
_cell_angle_alpha 90.00
_cell_angle_beta 90.00
_cell_angle_gamma 90.00
_space_group_name_H-M_alt 'P 1'
_space_group_IT_number 1
loop_
_space_group_symop_operation_xyz
'x,y,z'
loop_
_atom_site_label
_atom_site_type_symbol
_atom_site_fract_x
_atom_site_fract_y
_atom_site_fract_z
_atom_site_occupancy
Ca1 Ca 0.000 0.000 0.000 1
Ga1 Ga 0.000 0.000 0.500 1
Ga2 Ga 0.000 0.500 0.000 1
Ga3 Ga 0.500 0.000 0.000 1
P1 P 0.500 0.500 0.500 1
```

=====

# 5
Entry from Alexandria via LeMat-Bulk: Bi6Te10Pb at its PBEsol-relaxed geometry (meta-GGA SCAN).

E_form (uncorrected) = -0.1917 eV/atom

Structure (CIF):
```
data_Bi6Te10Pb
_cell_length_a 34.111
_cell_length_b 34.111
_cell_length_c 34.111
_cell_angle_alpha 7.40
_cell_angle_beta 7.40
_cell_angle_gamma 7.40
_space_group_name_H-M_alt 'P 1'
_space_group_IT_number 1
loop_
_space_group_symop_operation_xyz
'x,y,z'
loop_
_atom_site_label
_atom_site_type_symbol
_atom_site_fract_x
_atom_site_fract_y
_atom_site_fract_z
_atom_site_occupancy
Bi1 Bi 0.030 0.030 0.030 1
Bi2 Bi 0.205 0.205 0.205 1
Bi3 Bi 0.264 0.264 0.264 1
Bi4 Bi 0.736 0.736 0.736 1
Bi5 Bi 0.795 0.795 0.795 1
Bi6 Bi 0.970 0.970 0.970 1
Te1 Te 0.086 0.086 0.086 1
Te2 Te 0.148 0.148 0.148 1
Te3 Te 0.321 0.321 0.321 1
Te4 Te 0.383 0.383 0.383 1
Te5 Te 0.445 0.445 0.445 1
Te6 Te 0.555 0.555 0.555 1
Te7 Te 0.617 0.617 0.617 1
Te8 Te 0.679 0.679 0.679 1
Te9 Te 0.852 0.852 0.852 1
Te10 Te 0.914 0.914 0.914 1
Pb1 Pb 0.500 0.500 0.500 1
```

=====

# 6
Entry from Alexandria via LeMat-Bulk: K2LaMn at its PBEsol-relaxed geometry (meta-GGA SCAN).

Relative energy among the computed polymorphs = 0.000 eV/atom
E_form = 634 meV per atom

Structure (CIF):
```
data_K2LaMn
_cell_length_a 3.393
_cell_length_b 6.494
_cell_length_c 6.694
_cell_angle_alpha 90.00
_cell_angle_beta 90.00
_cell_angle_gamma 90.00
_space_group_name_H-M_alt 'P 1'
_space_group_IT_number 1
loop_
_space_group_symop_operation_xyz
'x,y,z'
loop_
_atom_site_label
_atom_site_type_symbol
_atom_site_fract_x
_atom_site_fract_y
_atom_site_fract_z
_atom_site_occupancy
K1 K 0.000 0.000 0.235 1
K2 K 0.000 0.000 0.765 1
La1 La 0.500 0.500 0.500 1
Mn1 Mn 0.500 0.500 0.000 1
```

=====

# 7
Entry from Alexandria via LeMat-Bulk: PRhCl2 at its PBEsol-relaxed geometry (meta-GGA SCAN).

E_form (uncorrected) = 0.3566 eV/atom
Relative energy among the computed polymorphs = 1.277 eV/atom

Structure (CIF):
```
data_PRhCl2
_cell_length_a 4.140
_cell_length_b 4.140
_cell_length_c 3.864
_cell_angle_alpha 90.00
_cell_angle_beta 90.00
_cell_angle_gamma 98.56
_space_group_name_H-M_alt 'P 1'
_space_group_IT_number 1
loop_
_space_group_symop_operation_xyz
'x,y,z'
loop_
_atom_site_label
_atom_site_type_symbol
_atom_site_fract_x
_atom_site_fract_y
_atom_site_fract_z
_atom_site_occupancy
P1 P 0.000 0.000 0.000 1
Rh1 Rh 0.500 0.500 0.000 1
Cl1 Cl 0.273 0.727 0.500 1
Cl2 Cl 0.727 0.273 0.500 1
```

=====

# 8
Entry from Alexandria via LeMat-Bulk: Ni2OsRh at its PBEsol-relaxed geometry (meta-GGA SCAN).

E_form = 109 meV per atom

Structure (CIF):
```
data_Ni2OsRh
_cell_length_a 2.634
_cell_length_b 2.634
_cell_length_c 7.007
_cell_angle_alpha 90.00
_cell_angle_beta 90.00
_cell_angle_gamma 90.00
_space_group_name_H-M_alt 'P 1'
_space_group_IT_number 1
loop_
_space_group_symop_operation_xyz
'x,y,z'
loop_
_atom_site_label
_atom_site_type_symbol
_atom_site_fract_x
_atom_site_fract_y
_atom_site_fract_z
_atom_site_occupancy
Ni1 Ni 0.000 0.000 0.000 1
Ni2 Ni 0.500 0.500 0.230 1
Os1 Os 0.000 0.000 0.478 1
Rh1 Rh 0.500 0.500 0.744 1
```

=====

# 9
Entry from Alexandria via LeMat-Bulk: CeAsRh at its PBEsol-relaxed geometry (meta-GGA SCAN).

E_form = -1259 meV per atom

Structure (CIF):
```
data_CeAsRh
_cell_length_a 7.128
_cell_length_b 4.327
_cell_length_c 7.346
_cell_angle_alpha 90.00
_cell_angle_beta 90.00
_cell_angle_gamma 90.00
_space_group_name_H-M_alt 'P 1'
_space_group_IT_number 1
loop_
_space_group_symop_operation_xyz
'x,y,z'
loop_
_atom_site_label
_atom_site_type_symbol
_atom_site_fract_x
_atom_site_fract_y
_atom_site_fract_z
_atom_site_occupancy
Ce1 Ce 0.009 0.250 0.212 1
Ce2 Ce 0.491 0.750 0.712 1
Ce3 Ce 0.509 0.250 0.288 1
Ce4 Ce 0.991 0.750 0.788 1
As1 As 0.201 0.250 0.590 1
As2 As 0.299 0.750 0.090 1
As3 As 0.701 0.250 0.910 1
As4 As 0.799 0.750 0.410 1
Rh1 Rh 0.225 0.750 0.423 1
Rh2 Rh 0.275 0.250 0.923 1
Rh3 Rh 0.725 0.750 0.077 1
Rh4 Rh 0.775 0.250 0.577 1
```

=====

# 10
Entry from Alexandria via LeMat-Bulk: GaAg3 at its PBEsol-relaxed geometry (meta-GGA SCAN).

E_form = 25 meV per atom

Structure (CIF):
```
data_GaAg3
_cell_length_a 4.023
_cell_length_b 4.023
_cell_length_c 4.023
_cell_angle_alpha 90.00
_cell_angle_beta 90.00
_cell_angle_gamma 90.00
_space_group_name_H-M_alt 'P 1'
_space_group_IT_number 1
loop_
_space_group_symop_operation_xyz
'x,y,z'
loop_
_atom_site_label
_atom_site_type_symbol
_atom_site_fract_x
_atom_site_fract_y
_atom_site_fract_z
_atom_site_occupancy
Ga1 Ga 0.000 0.000 0.000 1
Ag1 Ag 0.000 0.500 0.500 1
Ag2 Ag 0.500 0.000 0.500 1
Ag3 Ag 0.500 0.500 0.000 1
```

=====

# 11
Entry from Alexandria via LeMat-Bulk: InAs3O at its PBEsol-relaxed geometry (meta-GGA SCAN).

E_form (uncorrected) = 0.3073 eV/atom

Structure (CIF):
```
data_InAs3O
_cell_length_a 4.440
_cell_length_b 4.440
_cell_length_c 4.440
_cell_angle_alpha 90.00
_cell_angle_beta 90.00
_cell_angle_gamma 90.00
_space_group_name_H-M_alt 'P 1'
_space_group_IT_number 1
loop_
_space_group_symop_operation_xyz
'x,y,z'
loop_
_atom_site_label
_atom_site_type_symbol
_atom_site_fract_x
_atom_site_fract_y
_atom_site_fract_z
_atom_site_occupancy
In1 In 0.000 0.000 0.000 1
As1 As 0.000 0.500 0.500 1
As2 As 0.500 0.000 0.500 1
As3 As 0.500 0.500 0.000 1
O1 O 0.500 0.500 0.500 1
```

=====

# 12
Entry from Alexandria via LeMat-Bulk: MgTa2Mn at its PBEsol-relaxed geometry (meta-GGA SCAN).

E_form = 170 meV per atom

Structure (CIF):
```
data_MgTa2Mn
_cell_length_a 2.891
_cell_length_b 2.891
_cell_length_c 8.052
_cell_angle_alpha 90.00
_cell_angle_beta 90.00
_cell_angle_gamma 90.00
_space_group_name_H-M_alt 'P 1'
_space_group_IT_number 1
loop_
_space_group_symop_operation_xyz
'x,y,z'
loop_
_atom_site_label
_atom_site_type_symbol
_atom_site_fract_x
_atom_site_fract_y
_atom_site_fract_z
_atom_site_occupancy
Mg1 Mg 0.000 0.000 0.000 1
Ta1 Ta 0.500 0.500 0.305 1
Ta2 Ta 0.500 0.500 0.695 1
Mn1 Mn 0.000 0.000 0.500 1
```

=====

Repeat the eighth record exactly.
Entry from Alexandria via LeMat-Bulk: Ni2OsRh at its PBEsol-relaxed geometry (meta-GGA SCAN).

E_form = 109 meV per atom

Structure (CIF):
```
data_Ni2OsRh
_cell_length_a 2.634
_cell_length_b 2.634
_cell_length_c 7.007
_cell_angle_alpha 90.00
_cell_angle_beta 90.00
_cell_angle_gamma 90.00
_space_group_name_H-M_alt 'P 1'
_space_group_IT_number 1
loop_
_space_group_symop_operation_xyz
'x,y,z'
loop_
_atom_site_label
_atom_site_type_symbol
_atom_site_fract_x
_atom_site_fract_y
_atom_site_fract_z
_atom_site_occupancy
Ni1 Ni 0.000 0.000 0.000 1
Ni2 Ni 0.500 0.500 0.230 1
Os1 Os 0.000 0.000 0.478 1
Rh1 Rh 0.500 0.500 0.744 1
```

=====

- What is the formula in the fourth record?
  CaGa3P